No. 1
Entry from Alexandria via LeMat-Bulk: a relaxed La2TaSi crystal (PBE).

Geometry as extended XYZ:
```
4
Lattice="10.3892 -0.0135 -0.0079 9.8414 3.3291 -0.0079 9.8414 1.6129 2.9123" Properties=species:S:1:pos:R:3 pbc="T T T"
La 29.9607 4.9102 2.8857
La 15.1472 2.4825 1.4589
Si 7.5180 1.2321 0.7241
Ta 22.5539 3.6964 2.1723
```

The value obtained for the raw total energy is -0.4699 Ry/atom. Its space group is No. 166. The total magnetization is 0.000 μB per cell.

***

No. 2
Entry from Alexandria via LeMat-Bulk: a relaxed RbGa2PtAu crystal (PBE).

Geometry as extended XYZ:
```
5
Lattice="-2.1609 0.3562 -4.3130 -3.9111 -2.2244 1.7758 -2.1124 4.8810 1.4615" Properties=species:S:1:pos:R:3 pbc="T T T"
Au -1.0562 2.4405 0.7308
Rb -4.0922 1.5064 -0.5378
Ga -1.9556 -1.1122 0.8879
Ga -1.0804 0.1781 -2.1565
Pt 0.0000 0.0000 0.0000
```

The value obtained for the raw total energy is -0.2636 Ry/atom. The calculated formation energy comes out at -318 meV/atom. Its space group is No. 123. The total magnetization is 0.000 μB per cell.

***

No. 3
Entry from Alexandria via LeMat-Bulk: a relaxed Sm2AsH crystal (PBE).

Geometry as extended XYZ:
```
4
Lattice="4.0527 0.0000 0.0000 2.0264 3.5098 0.0000 2.0264 1.1699 6.1676" Properties=species:S:1:pos:R:3 pbc="T T T"
Sm 2.0264 1.1699 1.4324
H 0.0000 0.0000 0.0000
Sm 6.0791 3.5098 4.7352
As 4.0527 2.3399 3.0838
```

Its excess energy over the best structure of this formula in the dataset is 0.058 eV per atom. The value obtained for the raw total energy is -0.3842 Ry/atom. Its space group is No. 166. The total magnetization is 0.000 μB per cell.

***

No. 4
Entry from Alexandria via LeMat-Bulk: a relaxed SmEr2Ag2Pb2 crystal (PBE).

Geometry as extended XYZ:
```
7
Lattice="-4.4984 -1.4517 1.4161 -2.3946 -3.4686 -2.5657 1.2569 -7.7858 4.6078" Properties=species:S:1:pos:R:3 pbc="T T T"
Pb -4.0580 -9.8219 2.8311
Er -5.4602 -7.3976 0.8623
Er -0.1760 -5.3085 2.5959
Ag -3.4273 -5.2996 0.8736
Sm 0.0000 0.0000 0.0000
Ag -2.2088 -7.4065 2.5846
Pb -1.5781 -2.8842 0.6272
```

The value obtained for the raw total energy is -0.3047 Ry/atom. The calculated formation energy comes out at -293 meV/atom. Its space group is No. 166. The total magnetization is 0.000 μB per cell.

***

No. 5
Entry from Alexandria via LeMat-Bulk: a relaxed La6Tl5Bi crystal (PBE).

Geometry as extended XYZ:
```
12
Lattice="-1.7631 2.3335 9.9974 3.2669 -1.7340 3.7850 6.0494 5.7148 1.1592" Properties=species:S:1:pos:R:3 pbc="T T T"
La 0.9654 3.4867 8.1875
Bi 0.0000 0.0000 0.0000
Tl 4.3745 4.8792 13.3042
La 3.4636 1.4699 5.1119
La 4.0895 4.8443 9.8296
La 6.5877 2.8276 6.7541
Tl 0.7519 0.2997 6.8912
La 7.1672 6.1697 11.5022
Tl 3.1787 1.4350 1.6373
Tl 3.8513 1.6176 8.5408
Tl 3.7018 4.6967 6.4007
La 0.3859 0.1445 3.4393
```

Its excess energy over the best structure of this formula in the dataset is 0.000 eV per atom. The value obtained for the raw total energy is -0.3138 Ry/atom. The calculated formation energy comes out at -497 meV/atom. Its space group is No. 10. The total magnetization is 0.000 μB per cell.

***

No. 6
Entry from Alexandria via LeMat-Bulk: a relaxed Sn2Br3Cl crystal (PBE).

Geometry as extended XYZ:
```
12
Lattice="4.3972 0.0000 0.0000 2.1986 8.8735 0.1006 2.1986 2.1836 10.9126" Properties=species:S:1:pos:R:3 pbc="T T T"
Sn 6.5957 5.6761 9.1536
Br 2.1986 2.6714 0.0484
Br 6.5957 8.1248 2.7939
Br 6.5957 8.3857 10.9648
Cl 4.3972 5.1290 3.7898
Sn 4.3972 8.0706 4.9154
Br 6.5957 8.9917 6.8167
Sn 4.3972 2.9865 6.0979
Sn 2.1986 5.3811 1.8596
Br 2.1986 2.0654 4.1965
Cl 4.3972 5.9281 7.2235
Br 2.1986 2.9323 8.2194
```

The value obtained for the raw total energy is -0.2421 Ry/atom. Its space group is No. 12. The total magnetization is 0.000 μB per cell.

***

Look up the raw total energy of the third one. -0.3842 Ry/atom

***

Copy entry 2 word for word.
Entry from Alexandria via LeMat-Bulk: a relaxed RbGa2PtAu crystal (PBE).

Geometry as extended XYZ:
```
5
Lattice="-2.1609 0.3562 -4.3130 -3.9111 -2.2244 1.7758 -2.1124 4.8810 1.4615" Properties=species:S:1:pos:R:3 pbc="T T T"
Au -1.0562 2.4405 0.7308
Rb -4.0922 1.5064 -0.5378
Ga -1.9556 -1.1122 0.8879
Ga -1.0804 0.1781 -2.1565
Pt 0.0000 0.0000 0.0000
```

The value obtained for the raw total energy is -0.2636 Ry/atom. The calculated formation energy comes out at -318 meV/atom. Its space group is No. 123. The total magnetization is 0.000 μB per cell.